The following is a DFT calculation (PBE-GGA) of a relaxed Nd3Dy6YTm2 crystal.

Geometry as POSCAR:
```
Nd3Dy6YTm2
1.0
3.0962 -5.3595 0.0000
3.0962 5.3595 0.0000
-2.0582 0.0000 11.6424
Nd Dy Y Tm
3 6 1 2
direct
0.0000 0.0000 0.0000 Nd
0.3333 0.6667 0.0000 Nd
0.6667 0.3333 0.0000 Nd
0.0833 0.4177 0.2544 Dy
0.2478 0.2478 0.7455 Dy
0.4177 0.0833 0.2544 Dy
0.5823 0.9167 0.7456 Dy
0.7522 0.7522 0.2545 Dy
0.9167 0.5823 0.7456 Dy
0.5000 0.5000 0.5000 Y
0.1667 0.8333 0.5000 Tm
0.8333 0.1667 0.5000 Tm
```

Properties
Energy of formation from the pure elements = 0.02 eV per atom
Space-group type = C2/m, No. 12
Theoretical density = 7884 kg/m³
D(E_F) = 16.42 states/eV per cell
DFT total energy = -57.08 eV for the cell shown